Here is crystalline SrCo4Ag3O12 at its relaxed geometry from the Open Quantum Materials Database. Energies are from PBE with a Hubbard U.

```
SrCo4Ag3O12
1.0
0.9850 -0.3027 6.3429
-1.9211 5.9227 -1.5891
-4.5299 -4.2412 -1.6690
O Sr Ag Co
12 1 3 4
Cartesian
-2.8040 3.5083 -1.0870
-3.5962 -2.8786 0.3639
-2.5938 -0.3523 -0.0942
-3.9731 -0.6163 2.2774
-1.2350 -0.3004 2.2903
-4.2310 1.6791 0.7944
-2.8722 1.7311 3.1790
-1.4930 1.9951 0.8073
-1.8698 4.2574 2.7209
-0.2754 1.0542 4.4905
-2.6620 -2.1295 4.1717
-5.1907 0.3245 -1.4058
0.0000 0.0000 0.0000
-1.7725 -2.2719 2.3369
-0.4680 2.8100 2.3769
-3.2255 0.8407 -1.6291
0.4925 -0.1513 3.1714
-2.7330 0.6894 1.5424
-0.9605 2.9613 -0.7946
-2.2650 -2.1206 -0.8345
```

Calculated values
symmetry = Im-3 (204)
V = 10.2 Å³ per atom
E_tot = -5.25 eV/atom